Crystalline Li2Ni3TeO8 at its relaxed geometry, computed with PBE with a Hubbard U.

Unit cell a=10.1390 b=6.0139 c=6.2157 alpha=90.00 beta=127.53 gamma=90.00
With the nearest neighbours (Å) after each atom.
Space group C2/m (No. 12)
Symmetry-distinct sites (fractional):
Li  0.0000  0.0000  0.0000 (multiplicity 2)  2 O 2.08
Li  0.0000  0.5000  0.0000 (multiplicity 2)  6 O 2.06-2.22
Ni  0.0000  0.0000  0.5000 (multiplicity 2)  6 O 2.04-2.12
Ni  0.2500  0.2500  0.0000 (multiplicity 4)  6 O 1.89-2.10
Te  0.0000  0.5000  0.5000 (multiplicity 2)  6 O 1.95-1.98
O  0.0074  0.2653  0.7308 (multiplicity 8)  2 Ni 1.96-2.12, 1 Te 1.98
O  0.2417  0.5000  0.7551 (multiplicity 4)  1 Te 1.95, 1 Li 2.08, 2 Ni 2.10
O  0.2487  0.0000  0.8137 (multiplicity 4)  3 Ni 1.89-2.04, 1 Li 2.06

Summary:
- spin magnetization (μB/f.u.) = 4.00
- calculated total energy (eV/cell) = -141.051